# 1
The following is a DFT calculation (PBE-GGA) of NdSmSc2As4 after structural relaxation.

Cell lengths 7.0167, 4.0767, 7.0557 Å; angles 90.00, 109.59, 90.00 degrees
Space group P2/m (No. 10)
One atom of each set of equivalent atoms:
Nd (0.0000, 0.0000, 0.0000) [1 per cell]
Sm (0.0000, 0.5000, 0.5000) [1 per cell]
Sc (0.5000, 0.0000, 0.5000) [1 per cell]
Sc (0.5000, 0.5000, 0.0000) [1 per cell]
As (0.2720, 0.0000, 0.7557) [2 per cell]
As (0.2733, 0.5000, 0.2594) [2 per cell]

V	23.77	A^3/atom
energy of formation	-11.36	eV/f.u.

# 2
The following is a DFT calculation (PBE-GGA) of RbCaCl3 after structural relaxation.

Cell lengths 4.4033, 7.0354, 9.6367 Å; angles 90.00, 90.00, 90.00 degrees
Space group Pmmn (No. 59, origin choice 2)
One atom of each set of equivalent atoms:
Rb (0.2500, 0.2500, 0.1334) [2 per cell]
Ca (0.2500, 0.7500, 0.3968) [2 per cell]
Cl (0.2500, 0.5049, 0.6378) [4 per cell]
Cl (0.2500, 0.7500, 0.1129) [2 per cell]

formation energy from raw total energies	-2.21	eV per atom
V	29.85	A^3/atom

# 3
The following is a DFT calculation (PBE-GGA) of Na2CaV2 after structural relaxation.

Cell lengths 4.4571, 4.4571, 13.8115 Å; angles 90.00, 90.00, 90.00 degrees
Space group I4/mmm (No. 139)
One atom of each set of equivalent atoms:
Na (0.0000, 0.5000, 0.2500) [4 per cell]
Ca (0.0000, 0.0000, 0.0000) [2 per cell]
V (0.0000, 0.0000, 0.4346) [4 per cell]

V	27.44	A^3/atom
energy of formation	3.66	eV/f.u.
offset from the most stable computed form	0	meV/atom

# 4
The following is a DFT calculation (PBE-GGA) of Co2TcP after structural relaxation.

Cell lengths 2.7021, 3.7270, 4.8391 Å; angles 90.00, 105.45, 90.00 degrees
Space group P2/m (No. 10)
One atom of each set of equivalent atoms:
Co (0.1239, 0.0000, 0.2637) [2 per cell]
Tc (0.5000, 0.5000, 0.0000) [1 per cell]
P (0.0000, 0.5000, 0.5000) [1 per cell]

V	11.74	A^3/atom
energy of formation	-0.52	eV/f.u.

# 5
The following is a DFT calculation (PBE-GGA) of Na2TmC2O6 after structural relaxation.

Cell lengths 5.1322, 5.1322, 7.6489 Å; angles 90.00, 90.00, 120.00 degrees
Space group P-3 (No. 147)
One atom of each set of equivalent atoms:
Na (0.3333, 0.6667, 0.3302) [2 per cell]
Tm (0.0000, 0.0000, 0.0000) [1 per cell]
C (0.3333, 0.6667, 0.8377) [2 per cell]
O (0.1021, 0.3969, 0.8344) [6 per cell]

formation energy from raw total energies	-1.88	eV per atom
V	15.86	A^3/atom

# 6
The following is a DFT calculation (PBE-GGA) of Pr4S3N after structural relaxation.

Cell lengths 5.6809, 5.6809, 5.6809 Å; angles 90.00, 90.00, 90.00 degrees
Space group Pm-3m (No. 221)
One atom of each set of equivalent atoms:
Pr (0.0000, 0.0000, 0.0000) [1 per cell]
Pr (0.0000, 0.5000, 0.5000) [3 per cell]
S (0.0000, 0.0000, 0.5000) [3 per cell]
N (0.5000, 0.5000, 0.5000) [1 per cell]

formation energy from raw total energies	-1.72	eV per atom
V	22.92	A^3/atom
offset from the most stable computed form	107	meV/atom

# 7
The following is a DFT calculation (PBE-GGA) of SbCl5 after structural relaxation.

Cell lengths 15.7796, 3.9843, 7.6490 Å; angles 90.00, 96.08, 90.00 degrees
Space group Cm (No. 8)
One atom of each set of equivalent atoms:
Sb (0.0000, 0.0000, 0.0000) [2 per cell]
Cl (0.0448, 0.5000, 0.7868) [2 per cell]
Cl (0.1710, 0.0000, 0.4589) [2 per cell]
Cl (0.2174, 0.0000, 0.2259) [2 per cell]
Cl (0.3598, 0.5000, 0.8590) [2 per cell]
Cl (0.4613, 0.0000, 0.2154) [2 per cell]

formation energy from raw total energies	-0.54	eV per atom
V	39.85	A^3/atom

# 8
The following is a DFT calculation (PBE-GGA) of Fe2ReBr after structural relaxation.

Cell lengths 2.8657, 3.0809, 6.9533 Å; angles 90.00, 90.00, 90.00 degrees
Space group Pmmm (No. 47)
One atom of each set of equivalent atoms:
Fe (0.0000, 0.0000, 0.1983) [2 per cell]
Re (0.5000, 0.5000, 0.0000) [1 per cell]
Br (0.5000, 0.0000, 0.5000) [1 per cell]

formation energy from raw total energies	0.55	eV per atom
V	15.35	A^3/atom
offset from the most stable computed form	0	meV/atom

# 9
The following is a DFT calculation (PBE-GGA) of CaAcTbY after structural relaxation.

Cell lengths 8.4006, 8.4006, 8.4006 Å; angles 90.00, 90.00, 90.00 degrees
Space group F-43m (No. 216)
One atom of each set of equivalent atoms:
Ca (0.0000, 0.0000, 0.0000) [4 per cell]
Ac (0.0000, 0.0000, 0.5000) [4 per cell]
Tb (0.2500, 0.2500, 0.2500) [4 per cell]
Y (0.2500, 0.2500, 0.7500) [4 per cell]

V	37.05	A^3/atom
energy of formation	0.63	eV/f.u.

# 10
The following is a DFT calculation (PBE-GGA) of CaSi2Pt after structural relaxation.

Cell lengths 3.2954, 3.2954, 6.6460 Å; angles 90.00, 90.00, 90.00 degrees
Space group P4mm (No. 99)
One atom of each set of equivalent atoms:
Ca (0.0000, 0.0000, 0.0000) [1 per cell]
Si (0.0000, 0.0000, 0.4969) [1 per cell]
Si (0.5000, 0.5000, 0.7015) [1 per cell]
Pt (0.5000, 0.5000, 0.3296) [1 per cell]

formation energy from raw total energies	-0.36	eV per atom
V	18.04	A^3/atom

# 11
The following is a DFT calculation (PBE-GGA) of NaTi2Ge2 after structural relaxation.

Cell lengths 7.9714, 7.9714, 2.8611 Å; angles 90.00, 90.00, 90.00 degrees
Space group P4/mbm (No. 127)
One atom of each set of equivalent atoms:
Na (0.0000, 0.0000, 0.0000) [2 per cell]
Ti (0.1255, 0.3745, 0.5000) [4 per cell]
Ge (0.1674, 0.6674, 0.0000) [4 per cell]

V	18.18	A^3/atom
energy of formation	-1.49	eV/f.u.
offset from the most stable computed form	0	meV/atom

# 12
The following is a DFT calculation (PBE-GGA) of Na2MgZnAu2 after structural relaxation.

Cell lengths 4.6056, 8.0441, 7.0028 Å; angles 90.00, 90.00, 90.00 degrees
Space group Pmc2_1 (No. 26)
One atom of each set of equivalent atoms:
Na (0.0000, 0.1148, 0.0000) [2 per cell]
Na (0.5000, 0.1516, 0.3168) [2 per cell]
Mg (0.5000, 0.4750, 0.0106) [2 per cell]
Zn (0.0000, 0.2827, 0.5966) [2 per cell]
Au (0.0000, 0.4180, 0.2603) [2 per cell]
Au (0.5000, 0.2176, 0.7461) [2 per cell]

V	21.62	A^3/atom
energy of formation	-1.84	eV/f.u.

Number 1: E_tot -52.110 eV/f.u., Fermi-level density of states 0.95 states/eV/f.u.. Number 2: E_tot -19.583 eV/f.u., Fermi-level density of states 0.00 states/eV/f.u.. Number 3: E_tot -19.221 eV/f.u., Fermi-level density of states 4.88 states/eV/f.u.. Number 4: E_tot -30.507 eV/f.u., Fermi-level density of states 3.82 states/eV/f.u.. Number 5: E_tot -75.975 eV/f.u., Fermi-level density of states 1.76 states/eV/f.u.. Number 6: E_tot -53.579 eV/f.u., Fermi-level density of states 2.50 states/eV/f.u.. Number 7: E_tot -16.621 eV/f.u., Fermi-level density of states 0.00 states/eV/f.u.. Number 8: E_tot -28.842 eV/f.u., Fermi-level density of states 3.87 states/eV/f.u.. Number 9: E_tot -16.577 eV/f.u., Fermi-level density of states 6.45 states/eV/f.u.. Number 10: E_tot -20.343 eV/f.u., Fermi-level density of states 2.21 states/eV/f.u.. Number 11: E_tot -27.830 eV/f.u., Fermi-level density of states 1.67 states/eV/f.u.. Number 12: E_tot -13.901 eV/f.u., Fermi-level density of states 2.59 states/eV/f.u..